A plane-wave DFT calculation with PBE was carried out for an optimized crystal structure of PmCuAgPt.

Results
- theoretical density (g cm⁻³) = 10.81
- space-group type = F-43m, No. 216
- calculated total energy (eV/atom) = -4.82
- calculated volume (Å³ per atom) = 19.6

Structure (CIF):
```
data_PmCuAgPt
_cell_length_a 4.807
_cell_length_b 4.807
_cell_length_c 4.807
_cell_angle_alpha 60.00
_cell_angle_beta 60.00
_cell_angle_gamma 60.00
_space_group_name_H-M_alt 'P 1'
_space_group_IT_number 1
loop_
_space_group_symop_operation_xyz
'x,y,z'
loop_
_atom_site_label
_atom_site_fract_x
_atom_site_fract_y
_atom_site_fract_z
Pm1 0.000 0.000 0.000
Cu1 0.250 0.250 0.250
Ag1 0.500 0.500 0.500
Pt1 0.750 0.750 0.750
```